<A>
# Rb2Be2O3

A relaxed structure of Rb2Be2O3 (PBE, Alexandria via LeMat-Bulk).

abc: 7.503 7.503 7.516
angles: 90.00 90.00 90.00
Space group P4_32_12 (No. 96)
Inequivalent atoms, fractional coordinates:
Rb 0.002 0.247 0.380 [8 per cell]
Be 0.031 0.281 0.905 [8 per cell]
O 0.115 0.115 0.000 [4 per cell]
O 0.125 0.365 0.739 [8 per cell]

---

<B>
# Rb2Be2O3

A relaxed structure of Rb2Be2O3 (PBE, Alexandria via LeMat-Bulk).

abc: 2.926 8.468 8.479
angles: 90.00 90.00 90.00
Space group Immm (No. 71)
Inequivalent atoms, fractional coordinates:
Rb 0.000 0.206 0.000 [4 per cell]
Be 0.000 0.000 0.321 [4 per cell]
O 0.000 0.000 0.500 [2 per cell]
O 0.000 0.500 0.268 [4 per cell]

---

<C>
# Rb2Be2O3

A relaxed structure of Rb2Be2O3 (PBE, Alexandria via LeMat-Bulk).

abc: 10.854 5.377 7.852
angles: 90.00 90.00 90.00
Space group Pnma (No. 62)
Inequivalent atoms, fractional coordinates:
Rb 0.087 0.250 0.125 [4 per cell]
Rb 0.113 0.750 0.490 [4 per cell]
Be 0.167 0.250 0.720 [4 per cell]
Be 0.207 0.750 0.890 [4 per cell]
O 0.155 0.501 0.818 [8 per cell]
O 0.187 0.250 0.523 [4 per cell]

---

Which of them is most stable, and which least? Most stable: <C>; least stable: <B>.

---

<A>
# BeRh2O

A relaxed structure of BeRh2O (PBE, Alexandria via LeMat-Bulk).

abc: 5.597 5.597 5.597
angles: 90.00 90.00 90.00
Space group Fm-3m (No. 225)
Inequivalent atoms, fractional coordinates:
Be 0.000 0.000 0.000 [4 per cell]
Rh 0.250 0.250 0.250 [8 per cell]
O 0.000 0.000 0.500 [4 per cell]

---

<B>
# BeRh2O

A relaxed structure of BeRh2O (PBE, Alexandria via LeMat-Bulk).

abc: 4.937 4.937 9.111
angles: 90.00 90.00 90.00
Space group I-42d (No. 122)
Inequivalent atoms, fractional coordinates:
Be 0.000 0.000 0.000 [4 per cell]
Rh 0.229 0.250 0.625 [8 per cell]
O 0.000 0.000 0.500 [4 per cell]

---

Which of them is most stable, and which least? Most stable: <B>; least stable: <A>.

---

<A>
# Be2RuO

A relaxed structure of Be2RuO (PBE, Alexandria via LeMat-Bulk).

abc: 5.408 5.408 5.408
angles: 90.00 90.00 90.00
Space group Fm-3m (No. 225)
Inequivalent atoms, fractional coordinates:
Be 0.250 0.250 0.250 [8 per cell]
Ru 0.000 0.000 0.000 [4 per cell]
O 0.000 0.000 0.500 [4 per cell]

---

<B>
# Be2RuO

A relaxed structure of Be2RuO (PBE, Alexandria via LeMat-Bulk).

abc: 4.951 4.951 6.664
angles: 90.00 90.00 90.00
Space group I-42d (No. 122)
Inequivalent atoms, fractional coordinates:
Be 0.127 0.750 0.125 [8 per cell]
Ru 0.000 0.000 0.500 [4 per cell]
O 0.000 0.000 0.000 [4 per cell]

---

Which of them is most stable, and which least? Most stable: <B>; least stable: <A>.

---

<A>
# BeRu2O

A relaxed structure of BeRu2O (PBE, Alexandria via LeMat-Bulk).

abc: 4.856 4.856 9.148
angles: 90.00 90.00 90.00
Space group I-42d (No. 122)
Inequivalent atoms, fractional coordinates:
Be 0.000 0.000 0.000 [4 per cell]
Ru 0.212 0.250 0.625 [8 per cell]
O 0.000 0.000 0.500 [4 per cell]

---

<B>
# BeRu2O

A relaxed structure of BeRu2O (PBE, Alexandria via LeMat-Bulk).

abc: 5.557 5.557 5.557
angles: 90.00 90.00 90.00
Space group Fm-3m (No. 225)
Inequivalent atoms, fractional coordinates:
Be 0.000 0.000 0.000 [4 per cell]
Ru 0.250 0.250 0.250 [8 per cell]
O 0.000 0.000 0.500 [4 per cell]

---

Which of them is most stable, and which least? Most stable: <A>; least stable: <B>.

---

<A>
# BeSO2

A relaxed structure of BeSO2 (PBE, Alexandria via LeMat-Bulk).

abc: 2.6796 2.6796 16.2302
angles: 90.00 90.00 120.00
Space group R-3m (No. 166, hexagonal axes)
Inequivalent atoms, fractional coordinates:
Be 0.0000 0.0000 0.0000 [3 per cell]
S 0.0000 0.0000 0.5000 [3 per cell]
O 0.0000 0.0000 0.3923 [6 per cell]

---

<B>
# BeSO2

A relaxed structure of BeSO2 (PBE, Alexandria via LeMat-Bulk).

abc: 4.601 4.601 7.547
angles: 90.00 90.00 90.00
Space group I-42d (No. 122)
Inequivalent atoms, fractional coordinates:
Be 0.000 0.000 0.000 [4 per cell]
S 0.000 0.000 0.500 [4 per cell]
O 0.146 0.250 0.125 [8 per cell]

---

Which of them is most stable, and which least? Most stable: <A>; least stable: <B>.

---

<A>
# BeS2O

A relaxed structure of BeS2O (PBE, Alexandria via LeMat-Bulk).

abc: 5.673 5.673 5.673
angles: 90.00 90.00 90.00
Space group Fm-3m (No. 225)
Inequivalent atoms, fractional coordinates:
Be 0.000 0.000 0.000 [4 per cell]
S 0.250 0.250 0.250 [8 per cell]
O 0.000 0.000 0.500 [4 per cell]

---

<B>
# BeS2O

A relaxed structure of BeS2O (PBE, Alexandria via LeMat-Bulk).

abc: 4.614 4.614 11.074
angles: 90.00 90.00 90.00
Space group I-42d (No. 122)
Inequivalent atoms, fractional coordinates:
Be 0.000 0.000 0.000 [4 per cell]
S 0.239 0.250 0.125 [8 per cell]
O 0.000 0.000 0.500 [4 per cell]

---

<C>
# BeS2O

A relaxed structure of BeS2O (PBE, Alexandria via LeMat-Bulk).

abc: 3.4027 3.4027 16.8416
angles: 90.00 90.00 120.00
Space group R-3m (No. 166, hexagonal axes)
Inequivalent atoms, fractional coordinates:
Be 0.0000 0.0000 0.0000 [3 per cell]
S 0.0000 0.0000 0.3988 [6 per cell]
O 0.0000 0.0000 0.5000 [3 per cell]

---

Which of them is most stable, and which least? Most stable: <C>; least stable: <A>.

---

<A>
# TaBeS2O

A relaxed structure of TaBeS2O (PBE, Alexandria via LeMat-Bulk).

abc: 4.589 4.589 3.060
angles: 90.00 90.00 90.00
Space group P4/mmm (No. 123)
Inequivalent atoms, fractional coordinates:
Ta 0.000 0.000 0.000 [1 per cell]
Be 0.500 0.500 0.500 [1 per cell]
S 0.000 0.500 0.500 [2 per cell]
O 0.500 0.500 0.000 [1 per cell]

---

<B>
# TaBeS2O

A relaxed structure of TaBeS2O (PBE, Alexandria via LeMat-Bulk).

abc: 4.866 4.866 3.826
angles: 90.00 90.00 90.00
Space group P4/mmm (No. 123)
Inequivalent atoms, fractional coordinates:
Ta 0.000 0.000 0.000 [1 per cell]
Be 0.500 0.500 0.500 [1 per cell]
S 0.000 0.500 0.000 [2 per cell]
O 0.000 0.000 0.500 [1 per cell]

---

Which of them is most stable, and which least? Most stable: <B>; least stable: <A>.

---

<A>
# BeSbO2

A relaxed structure of BeSbO2 (PBE, Alexandria via LeMat-Bulk).

abc: 4.787 4.787 8.166
angles: 90.00 90.00 90.00
Space group I-42d (No. 122)
Inequivalent atoms, fractional coordinates:
Be 0.000 0.000 0.000 [4 per cell]
Sb 0.000 0.000 0.500 [4 per cell]
O 0.115 0.250 0.125 [8 per cell]

---

<B>
# BeSbO2

A relaxed structure of BeSbO2 (PBE, Alexandria via LeMat-Bulk).

abc: 5.710 5.710 5.710
angles: 90.00 90.00 90.00
Space group Fm-3m (No. 225)
Inequivalent atoms, fractional coordinates:
Be 0.000 0.000 0.000 [4 per cell]
Sb 0.000 0.000 0.500 [4 per cell]
O 0.250 0.250 0.250 [8 per cell]

---

<C>
# BeSbO2

A relaxed structure of BeSbO2 (PBE, Alexandria via LeMat-Bulk).

abc: 2.9242 2.9242 17.7474
angles: 90.00 90.00 120.00
Space group R-3m (No. 166, hexagonal axes)
Inequivalent atoms, fractional coordinates:
Be 0.0000 0.0000 0.0000 [3 per cell]
Sb 0.0000 0.0000 0.5000 [3 per cell]
O 0.0000 0.0000 0.3844 [6 per cell]

---

<D>
# BeSbO2

A relaxed structure of BeSbO2 (PBE, Alexandria via LeMat-Bulk).

abc: 3.1809 3.1809 18.8138
angles: 90.00 90.00 120.00
Space group R-3m (No. 166, hexagonal axes)
Inequivalent atoms, fractional coordinates:
Be 0.0000 0.0000 0.0000 [3 per cell]
Sb 0.0000 0.0000 0.5000 [3 per cell]
O 0.0000 0.0000 0.0763 [6 per cell]

---

Which of them is most stable, and which least? Most stable: <A>; least stable: <B>.

---

<A>
# Sc2BeO

A relaxed structure of Sc2BeO (PBE, Alexandria via LeMat-Bulk).

abc: 6.129 6.129 6.129
angles: 90.00 90.00 90.00
Space group Fm-3m (No. 225)
Inequivalent atoms, fractional coordinates:
Sc 0.250 0.250 0.250 [8 per cell]
Be 0.000 0.000 0.000 [4 per cell]
O 0.000 0.000 0.500 [4 per cell]

---

<B>
# Sc2BeO

A relaxed structure of Sc2BeO (PBE, Alexandria via LeMat-Bulk).

abc: 3.6219 3.6219 21.1755
angles: 90.00 90.00 120.00
Space group R-3m (No. 166, hexagonal axes)
Inequivalent atoms, fractional coordinates:
Sc 0.0000 0.0000 0.0888 [6 per cell]
Be 0.0000 0.0000 0.5000 [3 per cell]
O 0.0000 0.0000 0.0000 [3 per cell]

---

<C>
# Sc2BeO

A relaxed structure of Sc2BeO (PBE, Alexandria via LeMat-Bulk).

abc: 6.061 6.061 7.217
angles: 90.00 90.00 90.00
Space group I-42d (No. 122)
Inequivalent atoms, fractional coordinates:
Sc 0.178 0.750 0.125 [8 per cell]
Be 0.000 0.000 0.500 [4 per cell]
O 0.000 0.000 0.000 [4 per cell]

---

Which of them is most stable, and which least? Most stable: <C>; least stable: <A>.